PBEsol BeTePd2Pt, relaxed; space-group type = P4/mmm; energy relative to the elements, uncorrected = 1.18 eV/atom
1.0
4.844 0.000 0.000
0.000 4.921 0.000
0.000 0.000 4.921
Be Te Pd Pt
1 1 2 1
Cartesian
2.422 2.460 2.460
2.422 0.000 0.000
0.000 0.000 2.460
0.000 2.460 0.000
0.000 0.000 0.000